BaSi3Rh5 after structural relaxation, computed with PBE.

**Spin magnetization**: 0.00 μB per cell
**Calculated total energy**: -6.802 eV per atom
**Formation energy from raw total energies**: -697 meV/atom
**Mass density**: 7.8 Mg/m³
**Space-group type**: Cmcm, No. 63

Lattice parameters (Å, degrees): 6.6267 6.6267 12.4890 90.00 90.00 145.31
Element x y z (fractional)
Ba 0.1706 0.8294 0.7500
Ba 0.8294 0.1706 0.2500
Si 0.1007 0.8993 0.2500
Si 0.3813 0.6187 0.0321
Si 0.3813 0.6187 0.4679
Si 0.6187 0.3813 0.5321
Si 0.6187 0.3813 0.9679
Si 0.8993 0.1007 0.7500
Rh 0.0000 0.0000 0.0000
Rh 0.0000 0.0000 0.5000
Rh 0.1989 0.8011 0.0668
Rh 0.1989 0.8011 0.4332
Rh 0.4502 0.5498 0.6439
Rh 0.4502 0.5498 0.8561
Rh 0.5498 0.4502 0.1439
Rh 0.5498 0.4502 0.3561
Rh 0.8011 0.1989 0.5668
Rh 0.8011 0.1989 0.9332